# 1
Below is an optimized crystal structure of ZnNi2Pt, with properties calculated at the PBE-GGA level.

```
data_ZnNi2Pt
_symmetry_space_group_name_H-M 'P 1 2/m 1'
_symmetry_Int_Tables_number 10
_symmetry_space_group_name_Hall '-P 2y'
_cell_length_a 4.4157
_cell_length_b 2.7318
_cell_length_c 4.4331
_cell_angle_alpha 90.00
_cell_angle_beta 105.82
_cell_angle_gamma 90.00
loop_
_atom_site_label
_atom_site_fract_x
_atom_site_fract_y
_atom_site_fract_z
Zn1 0.0000 0.0000 0.0000
Ni1 0.5000 0.0000 0.5000
Ni2 0.5000 0.5000 0.0000
Pt1 0.0000 0.5000 0.5000
```

D(E_F)	1.0427	states/eV per atom
DFT formation energy	-0.210	eV/atom
total DFT energy (no corrections)	-0.36228	Ry/atom

---

# 2
Below is an optimized crystal structure of ZnNiPt2, with properties calculated at the PBE-GGA level.

```
data_ZnNiPt2
_symmetry_space_group_name_H-M 'F -4 3 m'
_symmetry_Int_Tables_number 216
_symmetry_space_group_name_Hall 'F -4 2 3'
_cell_length_a 6.1270
_cell_length_b 6.1270
_cell_length_c 6.1270
_cell_angle_alpha 90.00
_cell_angle_beta 90.00
_cell_angle_gamma 90.00
loop_
_atom_site_label
_atom_site_fract_x
_atom_site_fract_y
_atom_site_fract_z
Zn1 0.0000 0.0000 0.0000
Ni1 0.2500 0.2500 0.2500
Pt1 0.0000 0.0000 0.5000
Pt2 0.2500 0.2500 0.7500
```

D(E_F)	0.8614	states/eV per atom
DFT formation energy	-0.157	eV/atom
total DFT energy (no corrections)	-0.36318	Ry/atom